A plane-wave DFT calculation with PBEsol was carried out for crystalline K2BrCl at its relaxed geometry.

abc: 4.4118 4.4118 23.3048
angles: 90.00 90.00 120.00
With the nearest neighbours (Å) after each atom.
Space group R3m (No. 160, hexagonal axes)
Unique sites:
K (0.0000, 0.0000, 0.0000) [3 per cell]  3 Cl 3.13, 3 Br 3.25
K (0.0000, 0.0000, 0.1757) [3 per cell]  3 Cl 3.15, 3 Br 3.29
Br (0.0000, 0.0000, 0.4200) [3 per cell]  6 K 3.25-3.29
Cl (0.0000, 0.0000, 0.5889) [3 per cell]  6 K 3.13-3.15

## Properties
ΔE_f (raw) = -1808 meV per atom
Offset from the most stable computed form = 23 meV per atom
E_tot = -40.13 eV per cell